Record 1
Below is crystalline MgAlSn2 at its relaxed geometry, with properties calculated at the PBE level.

a b c (Å): 3.5796 3.5796 7.2981
angles (deg): 90.00 90.00 90.00
Closest atoms and distances in Å follow each position.
Space group P4/mmm (No. 123)
One atom of each set of equivalent atoms:
1 Mg 0.0000 0.0000 0.0000 x1  8 Sn 3.19
2 Al 0.0000 0.0000 0.5000 x1  8 Sn 3.05
3 Sn 0.5000 0.5000 0.2671 x2  4 Al 3.05, 4 Mg 3.19, 1 Sn 3.40

Output
* calculated formation energy: 40 meV per atom

---

Record 2
Below is crystalline PrLuCl at its relaxed geometry, with properties calculated at the PBE level.

a b c (Å): 3.6648 3.6648 7.2334
angles (deg): 90.00 90.00 120.00
Closest atoms and distances in Å follow each position.
Space group P3m1 (No. 156)
One atom of each set of equivalent atoms:
1 Pr 0.0000 0.0000 0.0000 x1  3 Cl 3.25, 3 Lu 3.45
2 Lu 0.6667 0.3333 0.6229 x1  3 Cl 2.94
3 Cl 0.3333 0.6667 0.3408 x1  3 Lu 2.94, 3 Pr 3.25

Output
* raw formation energy: -0.89 eV per atom

---

Record 3
Below is crystalline KReGe2 at its relaxed geometry, with properties calculated at the PBE level.

a b c (Å): 6.6943 6.6943 6.6943
angles (deg): 90.00 90.00 90.00
Closest atoms and distances in Å follow each position.
Space group Fm-3m (No. 225)
One atom of each set of equivalent atoms:
1 K 0.0000 0.0000 0.0000 x4  8 Ge 2.90
2 Re 0.0000 0.0000 0.5000 x4  8 Ge 2.90
3 Ge 0.2500 0.2500 0.2500 x8  4 K 2.90, 4 Re 2.90

Output
* E above lowest polymorph: 568 meV/atom
* calculated formation energy: 853 meV per atom

---

Record 4
Below is crystalline SrScP2S at its relaxed geometry, with properties calculated at the PBE level.

a b c (Å): 5.1536 5.1536 4.5503
angles (deg): 90.00 90.00 90.00
Closest atoms and distances in Å follow each position.
Space group P4/mmm (No. 123)
One atom of each set of equivalent atoms:
1 Sr 0.0000 0.0000 0.0000 x1  8 P 3.44, 4 Sc 3.64
2 Sc 0.5000 0.5000 0.0000 x1  2 S 2.28
3 P 0.0000 0.5000 0.5000 x2  2 S 2.58
4 S 0.5000 0.5000 0.5000 x1  2 Sc 2.28

Output
* E above lowest polymorph: 521 meV/atom
* raw formation energy: -0.21 eV per atom

---

Record 5
Below is crystalline Nd2TmCd5 at its relaxed geometry, with properties calculated at the PBE level.

a b c (Å): 5.1526 5.1526 15.4612
angles (deg): 90.00 90.00 90.00
Closest atoms and distances in Å follow each position.
Space group I4/mmm (No. 139)
One atom of each set of equivalent atoms:
1 Nd 0.0000 0.0000 0.2390 x4  8 Cd 3.23-3.45
2 Tm 0.0000 0.0000 0.5000 x2  8 Cd 3.11
3 Cd 0.0000 0.0000 0.0000 x2  8 Cd 3.11
4 Cd 0.0000 0.5000 0.1129 x8  2 Cd 3.11, 2 Tm 3.11, 4 Nd 3.23-3.45

Output
* calculated formation energy: -290 meV per atom

---

Record 6
Below is crystalline BaPt at its relaxed geometry, with properties calculated at the PBE level.

a b c (Å): 4.5956 4.5956 16.7963
angles (deg): 90.00 90.00 120.00
Closest atoms and distances in Å follow each position.
Space group P6_3/mmc (No. 194)
One atom of each set of equivalent atoms:
1 Ba 0.3333 0.6667 0.1279 x4  6 Pt 3.35
2 Pt 0.0000 0.0000 0.2500 x2  3 Pt 2.65
3 Pt 0.3333 0.6667 0.7500 x2  3 Pt 2.65

Output
* calculated formation energy: -673 meV per atom

---

Record 7
Below is crystalline Rb3In5Bi2 at its relaxed geometry, with properties calculated at the PBE level.

a b c (Å): 12.8235 15.7732 7.5480
angles (deg): 90.00 90.00 90.00
Closest atoms and distances in Å follow each position.
Space group Ibam (No. 72)
One atom of each set of equivalent atoms:
1 Rb 0.0000 0.0000 0.2500 x4  4 Bi 3.59, 2 Rb 3.77
2 Rb 0.2412 0.3763 0.0000 x8  3 Bi 3.72-4.07, 6 In 4.05-4.12
3 In 0.0000 0.2611 0.2500 x8  2 In 3.05, 2 Bi 3.15
4 In 0.0000 0.5000 0.2500 x4  4 In 3.12
5 In 0.1211 0.3770 0.5000 x8  1 Bi 3.03, 4 In 3.05-3.12
6 Bi 0.1456 0.1536 0.0000 x8  3 In 3.03-3.15

Output
* calculated formation energy: -177 meV per atom

---

Record 8
Below is crystalline NpAs2Pb at its relaxed geometry, with properties calculated at the PBE level.

a b c (Å): 4.1973 4.1973 21.2173
angles (deg): 90.00 90.00 120.00
Closest atoms and distances in Å follow each position.
Space group R-3m (No. 166, hexagonal axes)
One atom of each set of equivalent atoms:
1 Np 0.0000 0.0000 0.0000 x3  6 As 2.87
2 As 0.0000 0.0000 0.2612 x6  3 Np 2.87, 3 Pb 3.15
3 Pb 0.0000 0.0000 0.5000 x3  6 As 3.15

Output
* E above lowest polymorph: 0 meV/atom
* calculated formation energy: -302 meV per atom

---

Record 9
Below is crystalline MnCo2Rh at its relaxed geometry, with properties calculated at the PBE level.

a b c (Å): 2.5916 2.5916 24.7749
angles (deg): 90.00 90.00 120.00
Closest atoms and distances in Å follow each position.
Space group R3m (No. 160, hexagonal axes)
One atom of each set of equivalent atoms:
1 Mn 0.0000 0.0000 0.0000 x3  3 Co 2.53, 3 Rh 2.55, 6 Mn 2.59
2 Co 0.0000 0.0000 0.4941 x3  9 Co 2.45-2.59, 3 Rh 2.67
3 Co 0.0000 0.0000 0.7490 x3  9 Co 2.45-2.59, 3 Mn 2.53
4 Rh 0.0000 0.0000 0.2499 x3  3 Mn 2.55, 6 Rh 2.59, 3 Co 2.67

Output
* calculated formation energy: 125 meV per atom

---

Record 10
Below is crystalline DyBeC at its relaxed geometry, with properties calculated at the PBE level.

a b c (Å): 3.3591 3.3591 3.7922
angles (deg): 90.00 90.00 120.00
Closest atoms and distances in Å follow each position.
Space group P-6m2 (No. 187)
One atom of each set of equivalent atoms:
1 Dy 0.0000 0.0000 0.0000 x1  6 Be 2.71, 6 C 2.71
2 Be 0.3333 0.6667 0.5000 x1  3 C 1.94
3 C 0.6667 0.3333 0.5000 x1  3 Be 1.94

Output
* E above lowest polymorph: 0 meV/atom
* calculated formation energy: -258 meV per atom

---

Record 11
Below is crystalline TeMo2Ru at its relaxed geometry, with properties calculated at the PBE level.

a b c (Å): 6.4379 6.4379 6.4379
angles (deg): 90.00 90.00 90.00
Closest atoms and distances in Å follow each position.
Space group F-43m (No. 216)
One atom of each set of equivalent atoms:
1 Te 0.0000 0.0000 0.0000 x4  4 Mo 2.79, 4 Ru 2.79
2 Mo 0.0000 0.0000 0.5000 x4  4 Mo 2.79, 4 Ru 2.79
3 Mo 0.2500 0.2500 0.7500 x4  4 Mo 2.79, 4 Te 2.79
4 Ru 0.2500 0.2500 0.2500 x4  4 Mo 2.79, 4 Te 2.79

Output
* raw formation energy: 0.43 eV per atom

---

Record 12
Below is crystalline LiTl2N at its relaxed geometry, with properties calculated at the PBE level.

a b c (Å): 6.5035 6.5035 8.6825
angles (deg): 90.00 90.00 90.00
Closest atoms and distances in Å follow each position.
Space group I-42d (No. 122)
One atom of each set of equivalent atoms:
1 Li 0.0000 0.0000 0.0000 x4  4 Tl 2.79
2 Tl 0.1942 0.2500 0.6250 x8  2 N 2.33
3 N 0.0000 0.0000 0.5000 x4  4 Tl 2.33

Output
* E above lowest polymorph: 0 meV/atom
* raw formation energy: 0.47 eV per atom

---

Record 13
Below is crystalline ScRuBr2 at its relaxed geometry, with properties calculated at the PBE level.

a b c (Å): 3.3370 5.7391 8.7459
angles (deg): 90.00 90.00 90.00
Closest atoms and distances in Å follow each position.
Space group Immm (No. 71)
One atom of each set of equivalent atoms:
1 Sc 0.0000 0.0000 0.0000 x2  4 Br 2.81
2 Ru 0.0000 0.0000 0.5000 x2  4 Br 2.69
3 Br 0.0000 0.5000 0.2415 x4  2 Ru 2.69, 2 Sc 2.81

Output
* E above lowest polymorph: 615 meV/atom
* raw formation energy: 0.05 eV per atom

---

Record 14
Below is crystalline SiTe3Se at its relaxed geometry, with properties calculated at the PBE level.

a b c (Å): 5.4332 5.4332 5.4332
angles (deg): 90.00 90.00 90.00
Closest atoms and distances in Å follow each position.
Space group Pm-3m (No. 221)
One atom of each set of equivalent atoms:
1 Si 0.0000 0.0000 0.0000 x1  12 Te 3.84
2 Te 0.0000 0.5000 0.5000 x3  2 Se 2.72
3 Se 0.5000 0.5000 0.5000 x1  6 Te 2.72

Output
* E above lowest polymorph: 198 meV/atom
* raw formation energy: 0.82 eV per atom

---

Record 15
Below is crystalline Se2N2Cl at its relaxed geometry, with properties calculated at the PBE level.

a b c (Å): 2.8412 7.4113 7.4305
angles (deg): 63.56 79.10 89.89
Closest atoms and distances in Å follow each position.
Space group P-1 (No. 2)
One atom of each set of equivalent atoms:
1 Se 0.0878 0.2457 0.3248 x2  2 N 1.82
2 N 0.3334 0.7460 0.8346 x2  2 Se 1.82
3 Cl 0.5000 0.5000 0.5000 x1  2 Cl 2.84, 4 Se 3.06

Output
* E above lowest polymorph: 429 meV/atom
* raw formation energy: 0.81 eV per atom

---

Record 16
Below is crystalline Ca2Al3Si3O13 at its relaxed geometry, with properties calculated at the PBE level.

a b c (Å): 15.6476 5.7771 10.7137
angles (deg): 90.00 90.00 90.00
Closest atoms and distances in Å follow each position.
Space group Pnma (No. 62)
One atom of each set of equivalent atoms:
1 Ca 0.0484 0.2500 0.1369 x4  1 O 2.22
2 Ca 0.1313 0.2500 0.4404 x4  5 O 2.34-2.42
3 Al 0.1026 0.2500 0.8544 x4  4 O 1.75-1.82
4 Al 0.2473 0.0038 0.6924 x8  6 O 1.86-2.05
5 Si 0.0846 0.7500 0.2920 x4  4 O 1.61-1.65
6 Si 0.0860 0.7500 0.5849 x4  4 O 1.60-1.67
7 Si 0.1560 0.7500 0.9456 x4  4 O 1.65-1.66
8 O 0.0010 0.7500 0.6686 x4  1 Si 1.60
9 O 0.0022 0.7500 0.2022 x4  1 Si 1.61, 1 Al 1.75
10 O 0.0514 0.7500 0.4378 x4  2 Si 1.65-1.67
11 O 0.0934 0.5181 0.9433 x8  1 Si 1.66, 1 Al 1.82
12 O 0.1431 0.5176 0.2679 x8  1 Si 1.65
13 O 0.1457 0.5204 0.6020 x8  1 Si 1.63
14 O 0.2035 0.2500 0.7839 x4  3 Al 1.75-1.86
15 O 0.2089 0.2500 0.1056 x4  2 Al 1.87
16 O 0.2174 0.7500 0.0707 x4  1 Si 1.65
17 O 0.2166 0.7500 0.8183 x4  1 Si 1.66

Output
* E above lowest polymorph: 0 meV/atom
* raw formation energy: -2.87 eV per atom

---

Record 17
Below is crystalline YAs3Ir at its relaxed geometry, with properties calculated at the PBE level.

a b c (Å): 5.2737 5.2737 5.2737
angles (deg): 90.00 90.00 90.00
Closest atoms and distances in Å follow each position.
Space group Pm-3m (No. 221)
One atom of each set of equivalent atoms:
1 Y 0.0000 0.0000 0.0000 x1  6 As 2.64
2 As 0.0000 0.0000 0.5000 x3  2 Y 2.64
3 Ir 0.5000 0.5000 0.5000 x1  12 As 3.73

Output
* E above lowest polymorph: 1273 meV/atom
* calculated formation energy: 1355 meV per atom

---

Record 18
Below is crystalline Ac8Te4Ir3Rh at its relaxed geometry, with properties calculated at the PBE level.

a b c (Å): 8.8707 8.8707 23.7623
angles (deg): 90.00 90.00 120.00
Closest atoms and distances in Å follow each position.
Space group R-3m (No. 166, hexagonal axes)
One atom of each set of equivalent atoms:
1 Ac 0.0000 0.0000 0.2362 x6  3 Ir 3.05
2 Ac 0.0014 0.5007 0.7637 x18  2 Ir 3.04, 1 Rh 3.06
3 Te 0.0000 0.0000 0.0000 x3  6 Ac 3.44
4 Te 0.0000 0.5000 0.0000 x9  6 Ac 3.45
5 Ir 0.0000 0.5000 0.5000 x9  6 Ac 3.04-3.05
6 Rh 0.0000 0.0000 0.5000 x3  6 Ac 3.06

Output
* raw formation energy: -1.10 eV per atom

---

Record 19
Below is crystalline LaIBr2 at its relaxed geometry, with properties calculated at the PBE level.

a b c (Å): 4.3263 14.9019 9.4192
angles (deg): 90.00 90.00 90.00
Closest atoms and distances in Å follow each position.
Space group Cmcm (No. 63)
One atom of each set of equivalent atoms:
1 La 0.0000 0.2407 0.2500 x4  6 Br 3.10-3.22, 2 I 3.19
2 I 0.0000 0.4166 0.7500 x4  2 La 3.19
3 Br 0.0000 0.1634 0.5696 x8  3 La 3.10-3.22, 1 Br 3.40

Output
* E above lowest polymorph: 0 meV/atom
* raw formation energy: -1.83 eV per atom

---

Record 20
Below is crystalline SbOsW4 at its relaxed geometry, with properties calculated at the PBE level.

a b c (Å): 7.4739 7.4739 7.4739
angles (deg): 90.00 90.00 90.00
Closest atoms and distances in Å follow each position.
Space group F-43m (No. 216)
One atom of each set of equivalent atoms:
1 Sb 0.0000 0.0000 0.0000 x4  12 W 3.10, 4 Os 3.24
2 Os 0.2500 0.2500 0.7500 x4  12 W 3.10, 4 Sb 3.24
3 W 0.1257 0.1257 0.3743 x16  6 W 2.63-2.66

Output
* raw formation energy: 0.79 eV per atom

---

Record 21
Below is crystalline GdTaRh2 at its relaxed geometry, with properties calculated at the PBE level.

a b c (Å): 3.1861 3.1861 7.3443
angles (deg): 90.00 90.00 90.00
Closest atoms and distances in Å follow each position.
Space group P4/mmm (No. 123)
One atom of each set of equivalent atoms:
1 Gd 0.0000 0.0000 0.0000 x1  8 Rh 3.14, 4 Gd 3.19
2 Ta 0.0000 0.0000 0.5000 x1  8 Rh 2.70
3 Rh 0.5000 0.5000 0.2971 x2  4 Ta 2.70, 1 Rh 2.98

Output
* E above lowest polymorph: 0 meV/atom
* calculated formation energy: -576 meV per atom

---

Record 22
Below is crystalline In3Ga8 at its relaxed geometry, with properties calculated at the PBE level.

a b c (Å): 4.1073 4.5897 25.9710
angles (deg): 90.00 90.00 90.00
Closest atoms and distances in Å follow each position.
Space group Immm (No. 71)
One atom of each set of equivalent atoms:
1 In 0.0000 0.0000 0.0000 x2  12 Ga 3.14-3.33
2 In 0.0000 0.5000 0.1414 x4  12 Ga 3.17-3.38
3 Ga 0.0000 0.0000 0.2552 x4  4 Ga 2.67-2.71
4 Ga 0.0000 0.0000 0.4516 x4  3 Ga 2.51-2.55
5 Ga 0.0000 0.5000 0.3107 x4  5 Ga 2.54-2.71
6 Ga 0.0000 0.5000 0.4085 x4  3 Ga 2.54-2.55

Output
* calculated formation energy: 46 meV per atom

---

no.,V (Å³ per atom)
1,23.38
2,28.05
3,18.75
4,24.17
5,25.66
6,38.40
7,38.17
8,26.98
9,12.01
10,12.35
11,16.68
12,22.95
13,20.94
14,32.08
15,27.39
16,11.53
17,29.33
18,33.74
19,37.95
20,17.40
21,18.64
22,22.25